Arrangement A

## CdCu2Te (PBE-GGA)

Data for a relaxed structure of CdCu2Te.

CIF file:
```
data_CdCu2Te
_chemical_formula_sum 'Cd2 Cu4 Te2'
_space_group_name_H-M_alt 'I -4 m 2'
_space_group_IT_number 119
_space_group_name_Hall 'I -4 -2'
_cell_length_a 4.030
_cell_length_b 4.030
_cell_length_c 9.196
_cell_angle_alpha 90.00
_cell_angle_beta 90.00
_cell_angle_gamma 90.00
loop_
_atom_site_label
_atom_site_fract_x
_atom_site_fract_y
_atom_site_fract_z
_atom_site_occupancy
Cd1 0.000 0.000 0.000 1
Cu1 0.000 0.000 0.500 1
Cu2 0.000 0.500 0.750 1
Te1 0.000 0.500 0.250 1
```

Arrangement B

## CdCu2Te (PBE-GGA)

Data for a relaxed structure of CdCu2Te.

CIF file:
```
data_CdCu2Te
_chemical_formula_sum 'Cd4 Cu8 Te4'
_space_group_name_H-M_alt 'F m -3 m'
_space_group_IT_number 225
_space_group_name_Hall '-F 4 2 3'
_cell_length_a 6.706
_cell_length_b 6.706
_cell_length_c 6.706
_cell_angle_alpha 90.00
_cell_angle_beta 90.00
_cell_angle_gamma 90.00
loop_
_atom_site_label
_atom_site_fract_x
_atom_site_fract_y
_atom_site_fract_z
_atom_site_occupancy
Cd1 0.000 0.000 0.000 1
Cu1 0.250 0.250 0.250 1
Te1 0.000 0.000 0.500 1
```

Most stable: arrangement A. Least stable: arrangement B.

Arrangement A

## CdCu2Te (PBE-GGA)

Data for a relaxed structure of CdCu2Te.

CIF file:
```
data_CdCu2Te
_chemical_formula_sum 'Cd2 Cu4 Te2'
_space_group_name_H-M_alt 'C 1 m 1'
_space_group_IT_number 8
_space_group_name_Hall 'C -2y'
_cell_length_a 7.717
_cell_length_b 3.811
_cell_length_c 5.764
_cell_angle_alpha 90.00
_cell_angle_beta 105.70
_cell_angle_gamma 90.00
loop_
_atom_site_label
_atom_site_fract_x
_atom_site_fract_y
_atom_site_fract_z
_atom_site_occupancy
Cd1 0.000 0.000 0.000 1
Cu1 0.028 0.500 0.630 1
Cu2 0.247 0.000 0.742 1
Te1 0.283 0.500 0.399 1
```

Arrangement B

## CdCu2Te (PBE-GGA)

Data for a relaxed structure of CdCu2Te.

CIF file:
```
data_CdCu2Te
_chemical_formula_sum 'Cd2 Cu4 Te2'
_space_group_name_H-M_alt 'A m m 2'
_space_group_IT_number 38
_space_group_name_Hall 'A 2 -2'
_cell_length_a 4.381
_cell_length_b 5.438
_cell_length_c 6.887
_cell_angle_alpha 90.00
_cell_angle_beta 90.00
_cell_angle_gamma 90.00
loop_
_atom_site_label
_atom_site_fract_x
_atom_site_fract_y
_atom_site_fract_z
_atom_site_occupancy
Cd1 0.000 0.000 0.000 1
Cu1 0.000 0.000 0.405 1
Cu2 0.500 0.000 0.234 1
Te1 0.500 0.000 0.625 1
```

Most stable: arrangement B. Least stable: arrangement A.

Arrangement A

## CdCu2Te (PBE-GGA)

Data for a relaxed structure of CdCu2Te.

CIF file:
```
data_CdCu2Te
_chemical_formula_sum 'Cd4 Cu8 Te4'
_space_group_name_H-M_alt 'I -4 2 d'
_space_group_IT_number 122
_space_group_name_Hall 'I -4 2bw'
_cell_length_a 5.545
_cell_length_b 5.545
_cell_length_c 13.741
_cell_angle_alpha 90.00
_cell_angle_beta 90.00
_cell_angle_gamma 90.00
loop_
_atom_site_label
_atom_site_fract_x
_atom_site_fract_y
_atom_site_fract_z
_atom_site_occupancy
Cd1 0.000 0.000 0.000 1
Cu1 0.211 0.250 0.625 1
Te1 0.000 0.000 0.500 1
```

Arrangement B

## CdCu2Te (PBE-GGA)

Data for a relaxed structure of CdCu2Te.

CIF file:
```
data_CdCu2Te
_chemical_formula_sum 'Cd4 Cu8 Te4'
_space_group_name_H-M_alt 'F -4 3 m'
_space_group_IT_number 216
_space_group_name_Hall 'F -4 2 3'
_cell_length_a 6.781
_cell_length_b 6.781
_cell_length_c 6.781
_cell_angle_alpha 90.00
_cell_angle_beta 90.00
_cell_angle_gamma 90.00
loop_
_atom_site_label
_atom_site_fract_x
_atom_site_fract_y
_atom_site_fract_z
_atom_site_occupancy
Cd1 0.000 0.000 0.000 1
Cu1 0.000 0.000 0.500 1
Cu2 0.250 0.250 0.750 1
Te1 0.250 0.250 0.250 1
```

Arrangement C

## CdCu2Te (PBE-GGA)

Data for a relaxed structure of CdCu2Te.

CIF file:
```
data_CdCu2Te
_chemical_formula_sum 'Cd1 Cu2 Te1'
_space_group_name_H-M_alt 'P m m m'
_space_group_IT_number 47
_space_group_name_Hall '-P 2 2'
_cell_length_a 3.841
_cell_length_b 4.134
_cell_length_c 4.694
_cell_angle_alpha 90.00
_cell_angle_beta 90.00
_cell_angle_gamma 90.00
loop_
_atom_site_label
_atom_site_fract_x
_atom_site_fract_y
_atom_site_fract_z
_atom_site_occupancy
Cd1 0.000 0.000 0.000 1
Cu1 0.500 0.000 0.500 1
Cu2 0.500 0.500 0.000 1
Te1 0.000 0.500 0.500 1
```

Most stable: arrangement A. Least stable: arrangement B.